#P
The following is a DFT calculation (meta-GGA SCAN) of IrW2Se at its PBEsol-relaxed geometry.

Its volume is 61.4 Å³ per cell. As for the crystal system: monoclinic. The calculation puts the spin magnetization at 0.0 μB per formula unit.

The space group is P2/m (No. 10) and the conventional cell measures 2.811, 4.108 and 5.497 Å, with angles of 90.00, 104.52 and 90.00 degrees. Symmetry generates all atoms from Ir at (0.000, 0.000, 0.000), W at (0.347, 0.500, 0.751) and Se at (0.000, 0.000, 0.500).

=====

#Q
The following is a DFT calculation (meta-GGA SCAN) of IrW2Se at its PBEsol-relaxed geometry.

Its volume is 123.0 Å³ per cell. As for the crystal system: tetragonal. The calculation puts the spin magnetization at 0.0 μB per formula unit.

The space group is I-4m2 (No. 119) and the conventional cell measures 3.869, 3.869 and 8.214 Å, with angles of 90.00, 90.00 and 90.00 degrees. Symmetry generates all atoms from Ir at (0.000, 0.000, 0.000), W at (0.000, 0.000, 0.500), W at (0.000, 0.500, 0.750) and Se at (0.000, 0.500, 0.250).

=====

#R
The following is a DFT calculation (meta-GGA SCAN) of IrW2Se at its PBEsol-relaxed geometry.

Its volume is 122.5 Å³ per cell. As for the crystal system: monoclinic. The calculation puts the spin magnetization at 0.0 μB per formula unit.

The space group is Cm (No. 8) and the conventional cell measures 9.327, 2.903 and 4.723 Å, with angles of 90.00, 106.67 and 90.00 degrees. Symmetry generates all atoms from Ir at (0.000, 0.000, 0.000), W at (0.241, 0.500, 0.121), W at (0.494, 0.000, 0.508) and Se at (0.242, 0.000, 0.656).

=====

Which structure loses on stability? #Q does.

=====

#P
The following is a DFT calculation (meta-GGA SCAN) of IrWSe2 at its PBEsol-relaxed geometry.

Its volume is 167.7 Å³ per cell. As for the crystal system: orthorhombic. The calculation puts the spin magnetization at 0.0 μB per formula unit.

The space group is Immm (No. 71) and the conventional cell measures 3.685, 3.911 and 11.637 Å, with angles of 90.00, 90.00 and 90.00 degrees. Symmetry generates all atoms from Ir at (0.000, 0.000, 0.000), W at (0.000, 0.000, 0.500) and Se at (0.000, 0.500, 0.353).

=====

#Q
The following is a DFT calculation (meta-GGA SCAN) of IrWSe2 at its PBEsol-relaxed geometry.

Its volume is 61.1 Å³ per cell. As for the crystal system: tetragonal. The calculation puts the spin magnetization at 0.0 μB per formula unit.

The space group is P4/mmm (No. 123) and the conventional cell measures 4.363, 4.363 and 3.209 Å, with angles of 90.00, 90.00 and 90.00 degrees. Symmetry generates all atoms from Ir at (0.000, 0.000, 0.000), W at (0.500, 0.500, 0.000) and Se at (0.000, 0.500, 0.500).

=====

Which structure loses on stability? #Q does.

=====

#P
The following is a DFT calculation (meta-GGA SCAN) of ZnIr2Se at its PBEsol-relaxed geometry.

Its volume is 57.6 Å³ per cell. As for the crystal system: tetragonal. The calculation puts the spin magnetization at 0.0 μB per formula unit.

The space group is P4/mmm (No. 123) and the conventional cell measures 3.007, 3.007 and 6.372 Å, with angles of 90.00, 90.00 and 90.00 degrees. Symmetry generates all atoms from Zn at (0.000, 0.000, 0.000), Ir at (0.500, 0.500, 0.243) and Se at (0.000, 0.000, 0.500).

=====

#Q
The following is a DFT calculation (meta-GGA SCAN) of ZnIr2Se at its PBEsol-relaxed geometry.

Its volume is 117.6 Å³ per cell. As for the crystal system: monoclinic. The calculation puts the spin magnetization at 0.0 μB per formula unit.

The space group is Cm (No. 8) and the conventional cell measures 9.766, 2.896 and 4.558 Å, with angles of 90.00, 114.12 and 90.00 degrees. Symmetry generates all atoms from Zn at (0.000, 0.000, 0.000), Ir at (0.245, 0.500, 0.072), Ir at (0.480, 0.000, 0.497) and Se at (0.226, 0.000, 0.589).

=====

#R
The following is a DFT calculation (meta-GGA SCAN) of ZnIr2Se at its PBEsol-relaxed geometry.

Its volume is 59.6 Å³ per cell. As for the crystal system: orthorhombic. The calculation puts the spin magnetization at 0.0 μB per formula unit.

The space group is Pmmm (No. 47) and the conventional cell measures 2.805, 4.441 and 4.788 Å, with angles of 90.00, 90.00 and 90.00 degrees. Symmetry generates all atoms from Zn at (0.000, 0.000, 0.000), Ir at (0.000, 0.500, 0.500), Ir at (0.500, 0.500, 0.000) and Se at (0.500, 0.000, 0.500).

=====

Which structure loses on stability? #R does.

=====

#P
The following is a DFT calculation (meta-GGA SCAN) of ZrIrSe2 at its PBEsol-relaxed geometry.

Its volume is 285.0 Å³ per cell. As for the crystal system: cubic. The calculation puts the spin magnetization at 0.0 μB per formula unit.

The space group is F-43m (No. 216) and the conventional cell measures 6.581, 6.581 and 6.581 Å, with angles of 90.00, 90.00 and 90.00 degrees. Symmetry generates all atoms from Zr at (0.000, 0.000, 0.000), Ir at (0.250, 0.250, 0.750), Se at (0.000, 0.000, 0.500) and Se at (0.250, 0.250, 0.250).

=====

#Q
The following is a DFT calculation (meta-GGA SCAN) of ZrIrSe2 at its PBEsol-relaxed geometry.

Its volume is 66.2 Å³ per cell. As for the crystal system: tetragonal. The calculation puts the spin magnetization at 0.0 μB per formula unit.

The space group is P4/mmm (No. 123) and the conventional cell measures 4.409, 4.409 and 3.407 Å, with angles of 90.00, 90.00 and 90.00 degrees. Symmetry generates all atoms from Zr at (0.000, 0.000, 0.000), Ir at (0.500, 0.500, 0.000) and Se at (0.000, 0.500, 0.500).

=====

Which structure loses on stability? #P does.

=====

#P
The following is a DFT calculation (meta-GGA SCAN) of TlSi2Ir at its PBEsol-relaxed geometry.

Its volume is 164.4 Å³ per cell. As for the crystal system: monoclinic. The calculation puts the spin magnetization at 0.0 μB per formula unit.

The space group is C2/m (No. 12) and the conventional cell measures 6.883, 3.975 and 6.376 Å, with angles of 90.00, 109.58 and 90.00 degrees. Symmetry generates all atoms from Tl at (0.000, 0.000, 0.000), Si at (0.204, 0.000, 0.620) and Ir at (0.000, 0.500, 0.500).

=====

#Q
The following is a DFT calculation (meta-GGA SCAN) of TlSi2Ir at its PBEsol-relaxed geometry.

Its volume is 66.6 Å³ per cell. As for the crystal system: tetragonal. The calculation puts the spin magnetization at 0.0 μB per formula unit.

The space group is P4/mmm (No. 123) and the conventional cell measures 4.258, 4.258 and 3.672 Å, with angles of 90.00, 90.00 and 90.00 degrees. Symmetry generates all atoms from Tl at (0.000, 0.000, 0.000), Si at (0.000, 0.500, 0.500) and Ir at (0.500, 0.500, 0.000).

=====

Which structure loses on stability? #Q does.

=====

#P
The following is a DFT calculation (meta-GGA SCAN) of SiIrW at its PBEsol-relaxed geometry.

Its volume is 197.3 Å³ per cell. As for the crystal system: cubic. The calculation puts the spin magnetization at 0.0 μB per formula unit.

The space group is F-43m (No. 216) and the conventional cell measures 5.822, 5.822 and 5.822 Å, with angles of 90.00, 90.00 and 90.00 degrees. Symmetry generates all atoms from Si at (0.000, 0.000, 0.000), Ir at (0.250, 0.250, 0.250) and W at (0.000, 0.000, 0.500).

=====

#Q
The following is a DFT calculation (meta-GGA SCAN) of SiIrW at its PBEsol-relaxed geometry.

Its volume is 41.9 Å³ per cell. As for the crystal system: hexagonal. The calculation puts the spin magnetization at 0.0 μB per formula unit.

The space group is P-6m2 (No. 187) and the conventional cell measures 4.1895, 4.1895 and 2.7553 Å, with angles of 90.00, 90.00 and 120.00 degrees. Symmetry generates all atoms from Si at (0.0000, 0.0000, 0.0000), Ir at (0.3333, 0.6667, 0.0000) and W at (0.6667, 0.3333, 0.5000).

=====

Which structure loses on stability? #P does.